No. 1
{
  "formula": "BeCr2Hg",
  "functional": "GGA-PBEsol",
  "state": "optimized geometry",
  "cell": [[3.032, 0.000, 0.000], [0.000, 3.032, 0.000], [0.000, 0.000, 5.570]],
  "species": ["Cr", "Cr", "Hg", "Be"],
  "frac_coords": [[0.000, 0.000, 0.677], [0.000, 0.000, 0.323], [0.500, 0.500, 0.000], [0.500, 0.500, 0.500]],
  "polymorph_energy_mev_per_atom": 0.0,
  "mass_density_g_cm3": 10.2,
  "total_magnetization_mub_per_cell": 0.00,
  "space_group": "P4/mmm (123)",
  "volume_a3_per_cell": 51,
  "e_tot_ev_per_cell": -23.643,
  "ef_ev_per_atom": 0.352
}

=====

No. 2
{
  "formula": "BeCr2Hg",
  "functional": "GGA-PBEsol",
  "state": "optimized geometry",
  "cell": [[-0.241, 1.075, -2.858], [-3.466, -1.712, -0.352], [-0.371, 3.646, 3.044]],
  "species": ["Cr", "Cr", "Hg", "Be"],
  "frac_coords": [[0.239, 0.201, 0.478], [0.761, 0.799, 0.522], [0.000, 0.500, 0.000], [0.500, 0.000, 0.000]],
  "polymorph_energy_mev_per_atom": 66.4,
  "mass_density_g_cm3": 10.3,
  "total_magnetization_mub_per_cell": 0.00,
  "space_group": "C2/m (12)",
  "volume_a3_per_cell": 50,
  "e_tot_ev_per_cell": -23.377,
  "ef_ev_per_atom": 0.418
}

=====

No. 3
{
  "formula": "BeCr2Hg",
  "functional": "GGA-PBEsol",
  "state": "optimized geometry",
  "cell": [[-0.362, -2.250, -1.404], [1.652, -0.598, -2.020], [5.502, -5.126, 4.245]],
  "species": ["Cr", "Cr", "Hg", "Be"],
  "frac_coords": [[0.260, 0.260, 0.221], [0.740, 0.740, 0.779], [0.500, 0.500, 0.500], [0.000, 0.000, 0.000]],
  "polymorph_energy_mev_per_atom": 404.3,
  "mass_density_g_cm3": 9.9,
  "total_magnetization_mub_per_cell": 0.00,
  "space_group": "R-3m (166)",
  "volume_a3_per_cell": 53,
  "e_tot_ev_per_cell": -22.025,
  "ef_ev_per_atom": 0.756
}

=====

No. 4
{
  "formula": "BeCr2Hg",
  "functional": "GGA-PBEsol",
  "state": "optimized geometry",
  "cell": [[4.367, 0.000, 0.000], [2.184, 3.782, 0.000], [2.184, 1.261, 3.566]],
  "species": ["Cr", "Cr", "Hg", "Be"],
  "frac_coords": [[0.250, 0.250, 0.250], [0.750, 0.750, 0.750], [0.500, 0.500, 0.500], [0.000, 0.000, 0.000]],
  "polymorph_energy_mev_per_atom": 331.7,
  "mass_density_g_cm3": 8.8,
  "total_magnetization_mub_per_cell": 6.87,
  "space_group": "Fm-3m (225)",
  "volume_a3_per_cell": 59,
  "e_tot_ev_per_cell": -22.316,
  "ef_ev_per_atom": 0.684
}

=====

No. 5
{
  "formula": "Be2Cr2Hg",
  "functional": "GGA-PBEsol",
  "state": "optimized geometry",
  "cell": [[4.037, 0.000, 0.000], [0.000, 4.037, 0.000], [-2.018, -2.018, 3.803]],
  "species": ["Cr", "Cr", "Hg", "Be", "Be"],
  "frac_coords": [[0.367, 0.367, 0.733], [0.633, 0.633, 0.267], [0.000, 0.000, 0.000], [0.250, 0.750, 0.500], [0.750, 0.250, 0.500]],
  "mass_density_g_cm3": 8.6,
  "total_magnetization_mub_per_cell": 0.86,
  "space_group": "I4/mmm (139)",
  "volume_a3_per_cell": 62,
  "e_tot_ev_per_cell": -24.869,
  "ef_ev_per_atom": 0.836
}

=====

No. 6
{
  "formula": "BeCrI3",
  "functional": "GGA-PBEsol",
  "state": "optimized geometry",
  "cell": [[5.208, 0.000, 0.000], [0.000, 5.208, 0.000], [0.000, 0.000, 5.208]],
  "species": ["I", "I", "I", "Cr", "Be"],
  "frac_coords": [[0.000, 0.500, 0.000], [0.000, 0.000, 0.500], [0.500, 0.000, 0.000], [0.500, 0.500, 0.500], [0.000, 0.000, 0.000]],
  "mass_density_g_cm3": 5.2,
  "total_magnetization_mub_per_cell": 4.86,
  "raw_formation_energy_ev_per_atom": 0.43,
  "space_group": "Pm-3m (221)",
  "volume_a3_per_cell": 141,
  "e_tot_ev_per_cell": -17.392
}